(1)
Na3Cr3CoSe8: optimized geometry, PBE.

## Properties
Total energy (eV/atom): -5.19
Symmetry: C2/m, No. 12
DOS at the Fermi energy (states/eV per cell): 8.0
Volume (Å³/cell): 327
Magnetization (μB per formula unit): 8.108
ΔE_f (raw) (eV per atom): -0.67

Cell: 7.310 7.310 8.234 Å, 116.46 116.46 59.90°
Atoms (fractional coordinates):
Na: 0.000 0.000 0.000
Na: 0.000 0.500 0.000
Na: 0.500 0.000 0.000
Cr: 0.000 0.500 0.500
Cr: 0.500 0.000 0.500
Cr: 0.500 0.500 0.500
Co: 0.000 0.000 0.500
Se: 0.224 0.224 0.691
Se: 0.224 0.743 0.691
Se: 0.257 0.776 0.309
Se: 0.267 0.267 0.301
Se: 0.733 0.733 0.699
Se: 0.743 0.224 0.691
Se: 0.776 0.257 0.309
Se: 0.776 0.776 0.309

***

(2)
InPPdO2: optimized geometry, PBE.

## Properties
Total energy (eV/atom): -4.38
Symmetry: P4/mmm, No. 123
DOS at the Fermi energy (states/eV per cell): 5.6
Volume (Å³/cell): 91
Magnetization (μB per formula unit): 1.922
ΔE_f (raw) (eV per atom): 0.27

Cell: 3.952 3.952 5.839 Å, 90.00 90.00 90.00°
Atoms (fractional coordinates):
In: 0.000 0.000 0.000
P: 0.000 0.000 0.500
Pd: 0.500 0.500 0.500
O: 0.000 0.500 0.000
O: 0.500 0.000 0.000

***

> Which value of ΔE_f (raw) does entry 2 give?

0.27 eV per atom

***

> Among the records above, which one has the lowest magnetization?

InPPdO2

***

> The lowest volume belongs to which entry?

InPPdO2

***

What did the second record say?
InPPdO2: optimized geometry, PBE.

## Properties
Total energy (eV/atom): -4.38
Symmetry: P4/mmm, No. 123
DOS at the Fermi energy (states/eV per cell): 5.6
Volume (Å³/cell): 91
Magnetization (μB per formula unit): 1.922
ΔE_f (raw) (eV per atom): 0.27

Cell: 3.952 3.952 5.839 Å, 90.00 90.00 90.00°
Atoms (fractional coordinates):
In: 0.000 0.000 0.000
P: 0.000 0.000 0.500
Pd: 0.500 0.500 0.500
O: 0.000 0.500 0.000
O: 0.500 0.000 0.000